1.
{"formula": "SiRuW2", "functional": "PBE-GGA", "state": "relaxed", "formation_energy_uncorrected_ev_per_atom": -0.02, "space_group": "P4/mmm, No. 123", "lattice_angstrom": [[2.846, 0.000, 0.000], [0.000, 2.846, 0.000], [0.000, 0.000, 7.190]], "species": ["Si", "Ru", "W", "W"], "frac_coords": [[0.000, 0.000, 0.000], [0.000, 0.000, 0.500], [0.500, 0.500, 0.241], [0.500, 0.500, 0.759]]}

---

2.
{"formula": "Si2RuW", "functional": "PBE-GGA", "state": "relaxed", "formation_energy_uncorrected_ev_per_atom": -0.06, "space_group": "I-4m2, No. 119", "relative_energy_mev_per_atom": 233.2, "lattice_angstrom": [[-1.754, 1.754, 4.539], [1.754, -1.754, 4.539], [1.754, 1.754, -4.539]], "species": ["Si", "Si", "Ru", "W"], "frac_coords": [[0.000, 0.000, 0.000], [0.750, 0.250, 0.500], [0.500, 0.500, 0.000], [0.250, 0.750, 0.500]]}

---

3.
{"formula": "SiRuW2", "functional": "PBE-GGA", "state": "relaxed", "formation_energy_uncorrected_ev_per_atom": 0.07, "space_group": "Cmmm, No. 65", "lattice_angstrom": [[2.581, -4.035, 0.000], [2.581, 4.035, 0.000], [0.000, 0.000, 2.837]], "species": ["Si", "Ru", "W", "W"], "frac_coords": [[0.000, 0.000, 0.000], [0.500, 0.500, 0.000], [0.000, 0.500, 0.500], [0.500, 0.000, 0.500]]}

---

4.
{"formula": "SiRu4W", "functional": "PBE-GGA", "state": "relaxed", "formation_energy_uncorrected_ev_per_atom": 0.53, "space_group": "F-43m, No. 216", "lattice_angstrom": [[0.000, 3.559, 3.559], [3.559, 0.000, 3.559], [3.559, 3.559, 0.000]], "species": ["Si", "Ru", "Ru", "Ru", "Ru", "W"], "frac_coords": [[0.000, 0.000, 0.000], [0.375, 0.375, 0.375], [0.375, 0.375, 0.876], [0.375, 0.876, 0.375], [0.876, 0.375, 0.375], [0.750, 0.750, 0.750]]}

---

| no. | total magnetic moment (μB per cell) |
| --- | --- |
| 1 | 0.00 |
| 2 | 0.00 |
| 3 | 0.00 |
| 4 | 0.00 |